[1]
## Ce3PuGa2 (PBE-GGA)

Data for Ce3PuGa2 after structural relaxation.

Values from the calculation:
Formation energy from the elements, kJ per mole of atoms: -16
Space group: No. 63
ΔE to the lowest computed polymorph, meV/atom: 0.0

a = 8.952 Å, b = 8.952 Å, c = 5.985 Å
α = 90.00°, β = 90.00°, γ = 37.52°
Fractional coordinates of all 12 atoms:
Ce 0.190 0.810 0.750
Ce 0.328 0.328 0.000
Ce 0.328 0.328 0.500
Ce 0.672 0.672 0.000
Ce 0.672 0.672 0.500
Ce 0.810 0.190 0.250
Pu 0.340 0.660 0.250
Pu 0.660 0.340 0.750
Ga 0.146 0.181 0.750
Ga 0.181 0.146 0.250
Ga 0.819 0.854 0.750
Ga 0.854 0.819 0.250



[2]
## PaReSi2 (PBE-GGA)

Data for PaReSi2 after structural relaxation.

Values from the calculation:
Space group: No. 123

a = 3.115 Å, b = 3.115 Å, c = 6.857 Å
α = 90.00°, β = 90.00°, γ = 90.00°
Fractional coordinates of all 4 atoms:
Pa 0.000 0.000 0.000
Re 0.000 0.000 0.500
Si 0.500 0.500 0.303
Si 0.500 0.500 0.697



[3]
## BaLiCa2Tl (PBE-GGA)

Data for BaLiCa2Tl after structural relaxation.

Values from the calculation:
Formation energy from the elements, kJ per mole of atoms: -4
Space group: No. 123

a = 6.124 Å, b = 6.124 Å, c = 5.503 Å
α = 90.00°, β = 90.00°, γ = 90.00°
Fractional coordinates of all 5 atoms:
Ba 0.000 0.000 0.000
Li 0.500 0.500 0.000
Ca 0.000 0.500 0.500
Ca 0.500 0.000 0.500
Tl 0.500 0.500 0.500



[4]
## LaCoRh2 (PBE-GGA)

Data for LaCoRh2 after structural relaxation.

Values from the calculation:
Formation energy from the elements, kJ per mole of atoms: 4
Space group: No. 122
ΔE to the lowest computed polymorph, meV/atom: 293.2

a = 8.708 Å, b = 8.708 Å, c = 8.708 Å
α = 149.00°, β = 149.00°, γ = 44.41°
Fractional coordinates of all 8 atoms:
La 0.000 0.000 0.000
La 0.750 0.250 0.500
Co 0.250 0.750 0.500
Co 0.500 0.500 0.000
Rh 0.278 0.625 0.153
Rh 0.375 0.528 0.653
Rh 0.472 0.125 0.847
Rh 0.875 0.722 0.347



[5]
## Nb2SiPb (PBE-GGA)

Data for Nb2SiPb after structural relaxation.

Values from the calculation:
Space group: No. 122
ΔE to the lowest computed polymorph, meV/atom: 213.0

a = 10.354 Å, b = 10.354 Å, c = 10.354 Å
α = 157.40°, β = 157.40°, γ = 32.18°
Fractional coordinates of all 8 atoms:
Nb 0.097 0.625 0.972
Nb 0.375 0.347 0.472
Nb 0.653 0.125 0.028
Nb 0.875 0.903 0.528
Si 0.000 0.000 0.000
Si 0.750 0.250 0.500
Pb 0.250 0.750 0.500
Pb 0.500 0.500 0.000



[6]
## SmHoS3 (PBE-GGA)

Data for SmHoS3 after structural relaxation.

Values from the calculation:
Space group: No. 11
ΔE to the lowest computed polymorph, meV/atom: 26.2

a = 7.809 Å, b = 3.928 Å, c = 7.811 Å
α = 90.00°, β = 94.54°, γ = 90.00°
Fractional coordinates of all 10 atoms:
Sm 0.121 0.250 0.270
Sm 0.879 0.750 0.730
Ho 0.353 0.750 0.822
Ho 0.647 0.250 0.178
S 0.125 0.250 0.887
S 0.180 0.750 0.521
S 0.400 0.750 0.179
S 0.600 0.250 0.821
S 0.820 0.250 0.479
S 0.875 0.750 0.113



[7]
## Cs2DySO6 (PBE-GGA)

Data for Cs2DySO6 after structural relaxation.

Values from the calculation:
Space group: No. 164

a = 6.670 Å, b = 6.670 Å, c = 5.589 Å
α = 90.00°, β = 90.00°, γ = 120.00°
Fractional coordinates of all 10 atoms:
Cs 0.333 0.667 0.137
Cs 0.667 0.333 0.863
Dy 0.000 0.000 0.500
S 0.000 0.000 0.000
O 0.119 0.239 0.823
O 0.119 0.881 0.823
O 0.239 0.119 0.177
O 0.761 0.881 0.823
O 0.881 0.119 0.177
O 0.881 0.761 0.177



[8]
## AcCeSb3 (PBE-GGA)

Data for AcCeSb3 after structural relaxation.

Values from the calculation:
Space group: No. 221

a = 5.795 Å, b = 5.795 Å, c = 5.795 Å
α = 90.00°, β = 90.00°, γ = 90.00°
Fractional coordinates of all 5 atoms:
Ac 0.000 0.000 0.000
Ce 0.500 0.500 0.500
Sb 0.000 0.500 0.500
Sb 0.500 0.000 0.500
Sb 0.500 0.500 0.000



Number 1: E_tot -6.5325 eV per atom. Number 2: E_tot -8.4149 eV per atom. Number 3: E_tot -2.0821 eV per atom. Number 4: E_tot -6.6456 eV per atom. Number 5: E_tot -6.8294 eV per atom. Number 6: E_tot -6.3889 eV per atom. Number 7: E_tot -5.6337 eV per atom. Number 8: E_tot -4.7693 eV per atom.